# PuCdIO6, optimized geometry, DFT PBE
data_PuCdIO6
_cell_length_a 5.6799
_cell_length_b 5.6799
_cell_length_c 9.5334
_cell_angle_alpha 90.00
_cell_angle_beta 90.00
_cell_angle_gamma 120.00
_symmetry_space_group_name_H-M 'P -3 1 c'
_symmetry_Int_Tables_number 163
_symmetry_space_group_name_Hall '-P 3 2c'
loop_
_atom_site_label
_atom_site_fract_x
_atom_site_fract_y
_atom_site_fract_z
_atom_site_occupancy
Pu1 0.3333 0.6667 0.2500 1
Cd1 0.0000 0.0000 0.0000 1
I1 0.3333 0.6667 0.7500 1
O1 0.0069 0.3595 0.6357 1
# M_tot (μB per formula unit): 3.0
# D(E_F) (states/eV per cell): 16.6
# Uncorrected energy (eV/atom): -6.49